No. 1
# ZrTiAs (PBE, relaxed)
# Fermi-level density of states   2.1 states/eV/f.u.
# Energy relative to the elements   -0.75 eV per atom
# SG   Ima2 (46)
data_ZrTiAs
_chemical_formula_sum 'Zr2 Ti2 As2'
_symmetry_space_group_name_H-M 'P 1'
_symmetry_Int_Tables_number 1
_cell_length_a 5.241
_cell_length_b 5.241
_cell_length_c 5.241
_cell_angle_alpha 117.56
_cell_angle_beta 105.44
_cell_angle_gamma 105.73
loop_
_symmetry_equiv_pos_as_xyz
'x,y,z'
loop_
_atom_site_label
_atom_site_type_symbol
_atom_site_fract_x
_atom_site_fract_y
_atom_site_fract_z
Zr1 Zr 0.153 0.250 0.403
Zr2 Zr 0.847 0.750 0.597
Ti1 Ti 0.524 0.936 0.088
Ti2 Ti 0.847 0.436 0.912
As1 As 0.352 0.352 0.000
As2 As 0.352 0.852 0.500

No. 2
# Nb2Ir5RuW (PBE, relaxed)
# Fermi-level density of states   12.5 states/eV/f.u.
# Energy relative to the elements   0.44 eV per atom
# SG   I4/mcm (140)
data_Nb2Ir5RuW
_chemical_formula_sum 'Nb4 Ir10 Ru2 W2'
_symmetry_space_group_name_H-M 'P 1'
_symmetry_Int_Tables_number 1
_cell_length_a 7.623
_cell_length_b 7.623
_cell_length_c 7.623
_cell_angle_alpha 122.77
_cell_angle_beta 122.77
_cell_angle_gamma 85.26
loop_
_symmetry_equiv_pos_as_xyz
'x,y,z'
loop_
_atom_site_label
_atom_site_type_symbol
_atom_site_fract_x
_atom_site_fract_y
_atom_site_fract_z
Nb1 Nb 0.118 0.618 0.736
Nb2 Nb 0.382 0.118 0.500
Nb3 Nb 0.618 0.882 0.500
Nb4 Nb 0.882 0.382 0.264
Ir1 Ir 0.000 0.000 0.000
Ir2 Ir 0.066 0.154 0.500
Ir3 Ir 0.154 0.654 0.088
Ir4 Ir 0.346 0.434 0.500
Ir5 Ir 0.434 0.934 0.088
Ir6 Ir 0.500 0.500 0.000
Ir7 Ir 0.566 0.066 0.912
Ir8 Ir 0.654 0.566 0.500
Ir9 Ir 0.846 0.346 0.912
Ir10 Ir 0.934 0.846 0.500
Ru1 Ru 0.250 0.750 0.500
Ru2 Ru 0.750 0.250 0.500
W1 W 0.250 0.250 0.000
W2 W 0.750 0.750 0.000

No. 3
# SmYGeS (PBE, relaxed)
# Fermi-level density of states   1.4 states/eV/f.u.
# Raw formation energy   -33.7 kcal/mol of atoms
# SG   R3m (160)
data_SmYGeS
_chemical_formula_sum 'Sm1 Y1 Ge1 S1'
_symmetry_space_group_name_H-M 'P 1'
_symmetry_Int_Tables_number 1
_cell_length_a 7.126
_cell_length_b 7.126
_cell_length_c 7.126
_cell_angle_alpha 33.39
_cell_angle_beta 33.39
_cell_angle_gamma 33.39
loop_
_symmetry_equiv_pos_as_xyz
'x,y,z'
loop_
_atom_site_label
_atom_site_type_symbol
_atom_site_fract_x
_atom_site_fract_y
_atom_site_fract_z
Sm1 Sm 0.000 0.000 0.000
Y1 Y 0.500 0.500 0.500
Ge1 Ge 0.752 0.752 0.752
S1 S 0.248 0.248 0.248

No. 4
# Sm3BRh3Au2 (PBE, relaxed)
# Fermi-level density of states   3.3 states/eV/f.u.
# Energy relative to the elements   -0.67 eV per atom
# SG   P-62m (189)
data_Sm3BRh3Au2
_chemical_formula_sum 'Sm3 B1 Rh3 Au2'
_symmetry_space_group_name_H-M 'P 1'
_symmetry_Int_Tables_number 1
_cell_length_a 7.603
_cell_length_b 7.603
_cell_length_c 3.483
_cell_angle_alpha 90.00
_cell_angle_beta 90.00
_cell_angle_gamma 120.00
loop_
_symmetry_equiv_pos_as_xyz
'x,y,z'
loop_
_atom_site_label
_atom_site_type_symbol
_atom_site_fract_x
_atom_site_fract_y
_atom_site_fract_z
Sm1 Sm 0.000 0.364 0.000
Sm2 Sm 0.364 0.000 0.000
Sm3 Sm 0.636 0.636 0.000
B1 B 0.000 0.000 0.000
Rh1 Rh 0.000 0.791 0.500
Rh2 Rh 0.209 0.209 0.500
Rh3 Rh 0.791 0.000 0.500
Au1 Au 0.333 0.667 0.500
Au2 Au 0.667 0.333 0.500